P:
Zn2SiF | PBE | relaxed

Cell: 4.3583 4.3583 4.3583 Å, 60.00 60.00 60.00°
With the nearest neighbours (Å) after each atom.
Positions (direct):
Zn (0.2500, 0.2500, 0.2500)  4 F 2.67, 4 Si 2.67
Zn (0.7500, 0.7500, 0.7500)  4 F 2.67, 4 Si 2.67
Si (0.0000, 0.0000, 0.0000)  8 Zn 2.67
F (0.5000, 0.5000, 0.5000)  8 Zn 2.67

Calculated values
SG: Fm-3m (225)
Density in g/cm3: 5.047

Q:
Zn2SiF | PBE | relaxed

Cell: 6.7342 6.7342 6.7342 Å, 134.69 134.69 66.01°
With the nearest neighbours (Å) after each atom.
Positions (direct):
Zn (0.0938, 0.6250, 0.9688)  2 F 2.23, 2 Si 2.41
Zn (0.3750, 0.3438, 0.4688)  2 F 2.23, 2 Si 2.41
Zn (0.6562, 0.1250, 0.0312)  2 F 2.23, 2 Si 2.41
Zn (0.8750, 0.9062, 0.5312)  2 F 2.23, 2 Si 2.41
Si (0.2500, 0.7500, 0.5000)  4 Zn 2.41
Si (0.5000, 0.5000, 0.0000)  4 Zn 2.41
F (0.0000, 0.0000, 0.0000)  4 Zn 2.23
F (0.7500, 0.2500, 0.5000)  4 Zn 2.23

Calculated values
SG: I-42d (122)
Density in g/cm3: 3.887

Which one is the least stable? From the structures above, P.